No. 1
A plane-wave DFT calculation with PBE was carried out for a relaxed structure of CsScHgTe3.

Cell lengths 4.430, 9.848, 11.166 Å; angles 112.24, 90.00, 90.00 degrees
Sites, in units of the cell vectors:
Cs (0.250, 0.225, 0.259)
Cs (0.750, 0.775, 0.741)
Sc (0.250, 0.667, 0.132)
Sc (0.750, 0.333, 0.868)
Hg (0.250, 0.076, 0.613)
Hg (0.750, 0.924, 0.387)
Te (0.750, 0.872, 0.123)
Te (0.250, 0.128, 0.877)
Te (0.250, 0.757, 0.434)
Te (0.750, 0.243, 0.566)
Te (0.750, 0.473, 0.146)
Te (0.250, 0.527, 0.854)

Calculated values
For the calculated total energy, the calculation gives -44.3 eV per cell. As for the crystal system: monoclinic. The total magnetization is 0.00 μB per cell.

No. 2
A plane-wave DFT calculation with PBE was carried out for a relaxed structure of SrGe2BRu2.

Cell lengths 4.206, 4.206, 5.727 Å; angles 90.00, 90.00, 90.00 degrees
Sites, in units of the cell vectors:
Sr (0.000, 0.000, 0.500)
Ge (0.500, 0.500, 0.733)
Ge (0.500, 0.500, 0.267)
B (0.000, 0.000, 0.000)
Ru (0.500, 0.000, 0.000)
Ru (0.000, 0.500, 0.000)

Calculated values
For the energy of formation, the calculation gives -433 meV/atom. For the calculated total energy, the calculation gives -38.7 eV per cell. As for the crystal system: tetragonal. The total magnetization is 0.00 μB per cell.

No. 3
A plane-wave DFT calculation with PBE was carried out for a relaxed structure of Dy3Bi.

Cell lengths 4.854, 4.854, 4.854 Å; angles 90.00, 90.00, 90.00 degrees
Sites, in units of the cell vectors:
Dy (0.000, 0.500, 0.500)
Dy (0.500, 0.000, 0.500)
Dy (0.500, 0.500, 0.000)
Bi (0.000, 0.000, 0.000)

Calculated values
For the energy of formation, the calculation gives -337 meV/atom. For the calculated total energy, the calculation gives -19.0 eV per cell. As for the crystal system: cubic. The total magnetization is 0.00 μB per cell.

No. 4
A plane-wave DFT calculation with PBE was carried out for a relaxed structure of MnAg2Pt.

Cell lengths 4.962, 4.962, 2.920 Å; angles 90.00, 90.00, 112.69 degrees
Last column: magnetic moment on the atom in μB.
Sites, in units of the cell vectors:
Ag (0.000, 0.000, 0.000)  0.04
Ag (0.500, 0.500, 0.000)  0.04
Mn (0.500, 0.000, 0.500)  3.95
Pt (0.000, 0.500, 0.500)  0.19

Calculated values
For the energy of formation, the calculation gives 96 meV/atom. For the calculated total energy, the calculation gives -20.5 eV per cell. As for the crystal system: orthorhombic. The total magnetization is 4.42 μB per cell.

No. 5
A plane-wave DFT calculation with PBE was carried out for a relaxed structure of Tb2Al6Au21.

Cell lengths 9.188, 9.188, 9.188 Å; angles 60.00, 60.00, 60.00 degrees
Sites, in units of the cell vectors:
Tb (0.750, 0.750, 0.750)
Tb (0.250, 0.250, 0.250)
Al (0.269, 0.731, 0.269)
Al (0.731, 0.269, 0.269)
Al (0.731, 0.731, 0.269)
Al (0.731, 0.269, 0.731)
Al (0.269, 0.731, 0.731)
Al (0.269, 0.269, 0.731)
Au (0.000, 0.000, 0.000)
Au (0.619, 0.619, 0.142)
Au (0.619, 0.619, 0.619)
Au (0.619, 0.142, 0.619)
Au (0.142, 0.619, 0.619)
Au (0.381, 0.381, 0.858)
Au (0.381, 0.381, 0.381)
Au (0.381, 0.858, 0.381)
Au (0.858, 0.381, 0.381)
Au (0.657, 0.000, 0.343)
Au (0.000, 0.657, 0.343)
Au (0.000, 0.000, 0.343)
Au (0.000, 0.657, 0.000)
Au (0.657, 0.000, 0.000)
Au (0.000, 0.000, 0.657)
Au (0.000, 0.343, 0.000)
Au (0.000, 0.343, 0.657)
Au (0.657, 0.343, 0.000)
Au (0.343, 0.000, 0.657)
Au (0.343, 0.000, 0.000)
Au (0.343, 0.657, 0.000)

Calculated values
For the energy of formation, the calculation gives -279 meV/atom. For the calculated total energy, the calculation gives -108.6 eV per cell. As for the crystal system: cubic. The total magnetization is 0.00 μB per cell.

No. 6
A plane-wave DFT calculation with PBE was carried out for a relaxed structure of Co3Mo5.

Cell lengths 5.425, 5.425, 3.756 Å; angles 90.00, 90.00, 90.35 degrees
Sites, in units of the cell vectors:
Co (0.500, 0.500, 0.000)
Co (0.745, 0.255, 0.500)
Co (0.255, 0.745, 0.500)
Mo (0.000, 0.000, 0.000)
Mo (0.500, 0.000, 0.000)
Mo (0.000, 0.500, 0.000)
Mo (0.733, 0.733, 0.500)
Mo (0.267, 0.267, 0.500)

Calculated values
For the energy of formation, the calculation gives 123 meV/atom. For the calculated total energy, the calculation gives -74.5 eV per cell. As for the crystal system: orthorhombic. The total magnetization is 0.00 μB per cell.